Record 1
# CuIrN2O

CuIrN2O after structural relaxation (GGA-PBEsol, Alexandria).

Calculated values
ΔE_f (raw) in eV/f.u.: 4.763
ρ in Mg/m³: 8.6
Total energy in eV/f.u.: -31.7
Total moment in μB/f.u.: 0.0

a = 3.711 Å, b = 3.711 Å, c = 4.206 Å
α = 90.00°, β = 90.00°, γ = 90.00°
Space group P4/mmm (No. 123)
Unique sites:
1 Cu 0.000 0.000 0.000 x1
2 Ir 0.500 0.500 0.500 x1
3 N 0.000 0.500 0.500 x2
4 O 0.500 0.500 0.000 x1

=====

Record 2
# CuIrSeN2

CuIrSeN2 after structural relaxation (GGA-PBEsol, Alexandria).

Calculated values
ΔE_f (raw) in eV/f.u.: 8.972
ρ in Mg/m³: 9.0
Total energy in eV/f.u.: -26.1
Total moment in μB/f.u.: 2.1

a = 3.633 Å, b = 3.633 Å, c = 5.056 Å
α = 90.00°, β = 90.00°, γ = 90.00°
Space group P4/mmm (No. 123)
Unique sites:
1 Cu 0.000 0.000 0.000 x1
2 Ir 0.500 0.500 0.500 x1
3 Se 0.000 0.000 0.500 x1
4 N 0.000 0.500 0.000 x2

=====

Record 3
# CuNiIr2

CuNiIr2 after structural relaxation (GGA-PBEsol, Alexandria).

Calculated values
Energy above the lowest structure with this stoichiometry in meV/atom: 14
ΔE_f in eV/atom: 0.072
ρ in Mg/m³: 16.6
Total energy in eV/f.u.: -29.8
Total moment in μB/f.u.: 0.0

a = 8.463 Å, b = 2.653 Å, c = 4.595 Å
α = 90.00°, β = 100.45°, γ = 90.00°
Space group C2/m (No. 12)
Unique sites:
1 Cu 0.000 0.000 0.000 x2
2 Ni 0.000 0.500 0.500 x2
3 Ir 0.246 0.000 0.746 x4

=====

Record 4
# CuNiIr2

CuNiIr2 after structural relaxation (GGA-PBEsol, Alexandria).

Calculated values
Energy above the lowest structure with this stoichiometry in meV/atom: 0
ΔE_f in eV/atom: 0.059
ρ in Mg/m³: 16.8
Total energy in eV/f.u.: -29.9
Total moment in μB/f.u.: 0.0

a = 2.692 Å, b = 2.692 Å, c = 6.930 Å
α = 90.00°, β = 90.00°, γ = 90.00°
Space group P4mm (No. 99)
Unique sites:
1 Cu 0.000 0.000 0.000 x1
2 Ni 0.500 0.500 0.773 x1
3 Ir 0.000 0.000 0.527 x1
4 Ir 0.500 0.500 0.261 x1

=====

Record 5
# CuNiIr2

CuNiIr2 after structural relaxation (GGA-PBEsol, Alexandria).

Calculated values
Energy above the lowest structure with this stoichiometry in meV/atom: 8
ΔE_f in eV/atom: 0.067
ρ in Mg/m³: 16.6
Total energy in eV/f.u.: -29.9
Total moment in μB/f.u.: 0.0

a = 2.665 Å, b = 3.705 Å, c = 5.126 Å
α = 90.00°, β = 90.00°, γ = 90.00°
Space group Pmm2 (No. 25)
Unique sites:
1 Cu 0.000 0.000 0.000 x1
2 Ni 0.500 0.500 0.768 x1
3 Ir 0.000 0.000 0.510 x1
4 Ir 0.500 0.500 0.265 x1

=====

Record 6
# CuNiIr2

CuNiIr2 after structural relaxation (GGA-PBEsol, Alexandria).

Calculated values
Energy above the lowest structure with this stoichiometry in meV/atom: 4
ΔE_f in eV/atom: 0.063
ρ in Mg/m³: 16.8
Total energy in eV/f.u.: -29.9
Total moment in μB/f.u.: 0.0

a = 3.673 Å, b = 3.673 Å, c = 7.425 Å
α = 90.00°, β = 90.00°, γ = 90.00°
Space group I-4m2 (No. 119)
Unique sites:
1 Cu 0.000 0.000 0.000 x2
2 Ni 0.000 0.500 0.750 x2
3 Ir 0.000 0.000 0.500 x2
4 Ir 0.000 0.500 0.250 x2

=====

Record 7
# CuNiIr2

CuNiIr2 after structural relaxation (GGA-PBEsol, Alexandria).

Calculated values
Energy above the lowest structure with this stoichiometry in meV/atom: 10
ΔE_f in eV/atom: 0.069
ρ in Mg/m³: 16.6
Total energy in eV/f.u.: -29.9
Total moment in μB/f.u.: 0.0

a = 8.685 Å, b = 2.682 Å, c = 4.416 Å
α = 90.00°, β = 100.66°, γ = 90.00°
Space group Cm (No. 8)
Unique sites:
1 Cu 0.000 0.000 0.000 x2
2 Ni 0.250 0.000 0.780 x2
3 Ir 0.002 0.500 0.504 x2
4 Ir 0.254 0.500 0.282 x2

=====

Record 8
# CuNiIr2

CuNiIr2 after structural relaxation (GGA-PBEsol, Alexandria).

Calculated values
Energy above the lowest structure with this stoichiometry in meV/atom: 15
ΔE_f in eV/atom: 0.074
ρ in Mg/m³: 16.5
Total energy in eV/f.u.: -29.8
Total moment in μB/f.u.: 0.6

a = 2.6565 Å, b = 2.6565 Å, c = 24.9561 Å
α = 90.00°, β = 90.00°, γ = 120.00°
Space group R-3m (No. 166, hexagonal axes)
Unique sites:
1 Cu 0.0000 0.0000 0.0000 x3
2 Ni 0.0000 0.0000 0.5000 x3
3 Ir 0.0000 0.0000 0.2481 x6

=====

Record 9
# CuNiIr2

CuNiIr2 after structural relaxation (GGA-PBEsol, Alexandria).

Calculated values
Energy above the lowest structure with this stoichiometry in meV/atom: 19
ΔE_f in eV/atom: 0.078
ρ in Mg/m³: 16.5
Total energy in eV/f.u.: -29.8
Total moment in μB/f.u.: 0.0

a = 2.6566 Å, b = 2.6566 Å, c = 24.9820 Å
α = 90.00°, β = 90.00°, γ = 120.00°
Space group R3m (No. 160, hexagonal axes)
Unique sites:
1 Cu 0.0000 0.0000 0.0000 x3
2 Ni 0.0000 0.0000 0.7445 x3
3 Ir 0.0000 0.0000 0.2477 x3
4 Ir 0.0000 0.0000 0.4926 x3

=====

Record 10
# Cu2ReNiIr

Cu2ReNiIr after structural relaxation (GGA-PBEsol, Alexandria).

Calculated values
ΔE_f in eV/atom: 1.474
ρ in Mg/m³: 12.6
Total energy in eV/f.u.: -30.6
Total moment in μB/f.u.: 0.7

a = 4.149 Å, b = 4.149 Å, c = 4.315 Å
α = 90.00°, β = 90.00°, γ = 90.00°
Space group P4/mmm (No. 123)
Unique sites:
1 Cu 0.000 0.500 0.000 x2
2 Re 0.000 0.000 0.500 x1
3 Ni 0.000 0.000 0.000 x1
4 Ir 0.500 0.500 0.500 x1

=====

Record 11
# Tl2CuIrO

Tl2CuIrO after structural relaxation (GGA-PBEsol, Alexandria).

Calculated values
ΔE_f (raw) in eV/f.u.: 1.239
ρ in Mg/m³: 10.6
Total energy in eV/f.u.: -23.4
Total moment in μB/f.u.: 0.0

a = 5.406 Å, b = 5.406 Å, c = 3.663 Å
α = 90.00°, β = 90.00°, γ = 90.00°
Space group P4/mmm (No. 123)
Unique sites:
1 Tl 0.000 0.500 0.000 x2
2 Cu 0.000 0.000 0.500 x1
3 Ir 0.500 0.500 0.000 x1
4 O 0.500 0.500 0.500 x1

=====

Record 12
# Y2CuIrO

Y2CuIrO after structural relaxation (GGA-PBEsol, Alexandria).

Calculated values
ΔE_f (raw) in eV/f.u.: 1.595
ρ in Mg/m³: 6.6
Total energy in eV/f.u.: -31.5
Total moment in μB/f.u.: 0.0

a = 5.116 Å, b = 5.116 Å, c = 4.298 Å
α = 90.00°, β = 90.00°, γ = 90.00°
Space group P4/mmm (No. 123)
Unique sites:
1 Y 0.000 0.500 0.000 x2
2 Cu 0.000 0.000 0.000 x1
3 Ir 0.000 0.000 0.500 x1
4 O 0.500 0.500 0.500 x1